Compound: Ca2Pm4Pr
Source: Alexandria via LeMat-Bulk
Functional: PBE
Structure: optimized geometry

Geometry as POSCAR:
```
Ca2Pm4Pr
1.0
5.750 0.000 0.000
0.000 5.750 0.000
0.000 0.000 17.950
Ca Pm Pr
4 8 2
direct
0.000 0.000 0.127
0.000 0.000 0.873
0.500 0.500 0.373
0.500 0.500 0.627
0.000 0.000 0.327
0.000 0.000 0.673
0.000 0.500 0.000
0.000 0.500 0.500
0.500 0.000 0.000
0.500 0.000 0.500
0.500 0.500 0.173
0.500 0.500 0.827
0.000 0.000 0.500
0.500 0.500 0.000
```

Computed properties:
Crystal system: tetragonal
Energy of formation, eV per atom: 0.586
N(E_F), states/eV per atom: 1.881
ρ, Mg/m³: 4.5
Energy above the most stable polymorph in this dataset, eV/atom: 0.465
Total moment, μB/f.u.: 0.83